Entry i
{"formula": "LaBBr2", "functional": "GGA-PBE", "state": "relaxed", "lattice_angstrom": [[-4.1132, 8.5696, 2.5566], [-0.7343, 8.7281, 4.4915], [-0.8829, 9.7757, 0.7410]], "species": ["La", "B", "Br", "Br"], "fractional_positions": [[0.5000, 0.5000, 0.5000], [0.0000, 0.0000, 0.0000], [0.9053, 0.9053, 0.9053], [0.0947, 0.0947, 0.0947]], "space_group": "R-3m (166)", "total_magnetization_mub_per_cell": 0.60, "crystal_system": "trigonal"}

Entry ii
{"formula": "LaBBr2", "functional": "GGA-PBE", "state": "relaxed", "lattice_angstrom": [[-0.1144, 4.0913, -2.2772], [-4.6815, -0.0549, 0.1364], [-2.2040, 6.7999, 7.5108]], "species": ["La", "La", "Br", "Br", "Br", "Br", "B", "B"], "fractional_positions": [[0.7500, 0.2500, 0.5000], [0.0000, 0.0000, 0.0000], [0.1340, 0.6250, 0.2500], [0.6160, 0.1250, 0.2500], [0.8750, 0.8660, 0.7500], [0.3750, 0.3840, 0.7500], [0.2500, 0.7500, 0.5000], [0.5000, 0.5000, 0.0000]], "space_group": "I-42d (122)", "total_magnetization_mub_per_cell": 0.00, "crystal_system": "tetragonal"}

Relative energies, kJ/mol of atoms: entry i 11.6; entry ii 0.0.

Entry i
{"formula": "LaB2Br", "functional": "GGA-PBE", "state": "relaxed", "lattice_angstrom": [[6.6517, 0.0000, 0.0000], [0.0000, 6.6517, 0.0000], [3.3258, 3.3258, 3.4421]], "species": ["La", "La", "Br", "Br", "B", "B", "B", "B"], "fractional_positions": [[0.7500, 0.2500, 0.5000], [0.0000, 0.0000, 0.0000], [0.5000, 0.5000, 0.0000], [0.2500, 0.7500, 0.5000], [0.3750, 0.4386, 0.7500], [0.1886, 0.6250, 0.2500], [0.5614, 0.1250, 0.2500], [0.8750, 0.8114, 0.7500]], "space_group": "I-42d (122)", "total_magnetization_mub_per_cell": 0.00, "crystal_system": "tetragonal"}

Entry ii
{"formula": "LaB2Br", "functional": "GGA-PBE", "state": "relaxed", "lattice_angstrom": [[-3.5388, -2.8163, 1.3087], [-3.0901, 1.4534, 3.2413], [-4.4185, 1.0328, -1.2560]], "species": ["Br", "La", "B", "B"], "fractional_positions": [[0.0000, 0.0000, 0.0000], [0.5000, 0.5000, 0.5000], [0.2500, 0.2500, 0.2500], [0.7500, 0.7500, 0.7500]], "space_group": "Fm-3m (225)", "total_magnetization_mub_per_cell": 0.00, "crystal_system": "cubic"}

Relative energies, kJ/mol of atoms: entry i 2.1; entry ii 0.0.

Entry i
{"formula": "La2BBr", "functional": "GGA-PBE", "state": "relaxed", "lattice_angstrom": [[-0.7487, -6.8550, -2.8182], [4.9055, -2.5817, 4.9764], [-1.1228, -5.4994, 3.8295]], "species": ["La", "La", "La", "La", "B", "B", "Br", "Br"], "fractional_positions": [[0.8750, 0.8097, 0.7500], [0.1903, 0.6250, 0.2500], [0.5597, 0.1250, 0.2500], [0.3750, 0.4403, 0.7500], [0.5000, 0.5000, 0.0000], [0.2500, 0.7500, 0.5000], [0.7500, 0.2500, 0.5000], [0.0000, 0.0000, 0.0000]], "space_group": "I-42d (122)", "total_magnetization_mub_per_cell": 0.00, "crystal_system": "tetragonal"}

Entry ii
{"formula": "La2BBr", "functional": "GGA-PBE", "state": "relaxed", "lattice_angstrom": [[-1.9481, -0.4382, 4.7133], [-0.6886, 4.1733, 2.8830], [-4.7345, 1.6817, 0.9791]], "species": ["Br", "La", "La", "B"], "fractional_positions": [[0.5000, 0.5000, 0.5000], [0.7500, 0.7500, 0.7500], [0.2500, 0.2500, 0.2500], [0.0000, 0.0000, 0.0000]], "space_group": "Fm-3m (225)", "total_magnetization_mub_per_cell": 0.11, "crystal_system": "cubic"}

Entry iii
{"formula": "La2BBr", "functional": "GGA-PBE", "state": "relaxed", "lattice_angstrom": [[-1.8626, 3.6928, 0.0051], [-2.9670, 0.8234, -2.7613], [-6.7415, -1.0894, 3.8214]], "species": ["Br", "La", "La", "B"], "fractional_positions": [[0.5000, 0.5000, 0.5000], [0.7311, 0.7311, 0.8066], [0.2689, 0.2689, 0.1934], [0.0000, 0.0000, 0.0000]], "space_group": "R-3m (166)", "total_magnetization_mub_per_cell": 0.01, "crystal_system": "trigonal"}

Relative energies, kJ/mol of atoms: entry i 25.0; entry ii 42.6; entry iii 0.0.

Entry i
{"formula": "LaB2Br2", "functional": "GGA-PBE", "state": "relaxed", "lattice_angstrom": [[-5.8212, -4.8977, -2.1440], [3.2002, -5.7310, 4.4028], [-1.8674, 1.0354, 2.7051]], "species": ["Br", "Br", "Br", "Br", "La", "La", "B", "B", "B", "B"], "fractional_positions": [[0.6393, 0.1393, 0.0000], [0.8607, 0.6393, 0.0000], [0.3607, 0.8607, 0.0000], [0.1393, 0.3607, 0.0000], [0.5000, 0.5000, 0.0000], [0.0000, 0.0000, 0.0000], [0.2709, 0.2291, 0.5000], [0.2291, 0.7291, 0.5000], [0.7709, 0.2709, 0.5000], [0.7291, 0.7709, 0.5000]], "space_group": "P4/mbm (127)", "total_magnetization_mub_per_cell": 0.00, "crystal_system": "tetragonal"}

Entry ii
{"formula": "LaB2Br2", "functional": "GGA-PBE", "state": "relaxed", "lattice_angstrom": [[3.3046, 0.0000, 0.0000], [0.0000, 3.3046, 0.0000], [1.6523, 1.6523, 11.7178]], "species": ["La", "Br", "Br", "B", "B"], "fractional_positions": [[0.0000, 0.0000, 0.0000], [0.4174, 0.4174, 0.1653], [0.5826, 0.5826, 0.8347], [0.2500, 0.7500, 0.5000], [0.7500, 0.2500, 0.5000]], "space_group": "I4/mmm (139)", "total_magnetization_mub_per_cell": 0.00, "crystal_system": "tetragonal"}

Relative energies, kJ/mol of atoms: entry i 23.8; entry ii 0.0.

Entry i
{"formula": "LaBSeBr2", "functional": "GGA-PBE", "state": "relaxed", "lattice_angstrom": [[5.8132, 0.0000, 0.0000], [0.0000, 5.8132, 0.0000], [0.0000, 0.0000, 5.8523]], "species": ["La", "B", "Br", "Br", "Se"], "fractional_positions": [[0.0000, 0.0000, 0.0000], [0.5000, 0.5000, 0.5000], [0.0000, 0.5000, 0.0000], [0.5000, 0.0000, 0.0000], [0.0000, 0.0000, 0.5000]], "space_group": "P4/mmm (123)", "total_magnetization_mub_per_cell": 0.00, "crystal_system": "tetragonal"}

Entry ii
{"formula": "LaBSeBr2", "functional": "GGA-PBE", "state": "relaxed", "lattice_angstrom": [[4.8731, 0.0000, 0.0000], [0.0000, 4.8731, 0.0000], [0.0000, 0.0000, 4.7284]], "species": ["La", "Se", "Br", "Br", "B"], "fractional_positions": [[0.5000, 0.5000, 0.5000], [0.0000, 0.0000, 0.5000], [0.5000, 0.0000, 0.0000], [0.0000, 0.5000, 0.0000], [0.0000, 0.0000, 0.0000]], "space_group": "P4/mmm (123)", "total_magnetization_mub_per_cell": 0.28, "crystal_system": "tetragonal"}

Relative energies, kJ/mol of atoms: entry i 28.1; entry ii 0.0.

Entry i
{"formula": "LiB3Br", "functional": "GGA-PBE", "state": "relaxed", "lattice_angstrom": [[-3.7178, 1.2312, 1.3722], [-1.4479, -3.8621, -0.4574], [1.1413, -0.8886, 3.8896]], "species": ["B", "B", "B", "Li", "Br"], "fractional_positions": [[0.0000, 0.0000, 0.5000], [0.5000, 0.0000, 0.0000], [0.0000, 0.5000, 0.0000], [0.0000, 0.0000, 0.0000], [0.5000, 0.5000, 0.5000]], "space_group": "Pm-3m (221)", "total_magnetization_mub_per_cell": 0.00, "crystal_system": "cubic"}

Entry ii
{"formula": "LiB3Br", "functional": "GGA-PBE", "state": "relaxed", "lattice_angstrom": [[4.2849, 0.0000, 0.0000], [0.0000, 4.2849, 0.0000], [0.0000, 0.0000, 4.2849]], "species": ["B", "B", "B", "Br", "Li"], "fractional_positions": [[0.0000, 0.5000, 0.0000], [0.0000, 0.0000, 0.5000], [0.5000, 0.0000, 0.0000], [0.0000, 0.0000, 0.0000], [0.5000, 0.5000, 0.5000]], "space_group": "Pm-3m (221)", "total_magnetization_mub_per_cell": 0.00, "crystal_system": "cubic"}

Relative energies, kJ/mol of atoms: entry i 0.0; entry ii 24.7.